[1]
This record from the Alexandria database describes a relaxed structure of Y3HoTc. The functional is PBE.

Unit cell a=3.911 b=6.342 c=12.076 alpha=82.24 beta=80.68 gamma=72.04
Positions (direct):
Y: 0.454 0.945 0.148
Y: 0.759 0.721 0.761
Y: 0.102 0.173 0.623
Y: 0.984 0.128 0.905
Y: 0.784 0.048 0.384
Y: 0.429 0.621 0.522
Ho: 0.111 0.493 0.284
Ho: 0.230 0.536 0.005
Tc: 0.784 0.283 0.149
Tc: 0.426 0.388 0.760

## Properties
DOS(E_F) (states/eV per atom): 1.083
Formation energy (eV/atom): -0.060
Space group: No. 8
M_tot (μB per cell): 0.0
Calculated volume (Å³ per cell): 280
Total energy (eV per atom): -6.93

=====

[2]
This record from the Alexandria database describes a relaxed structure of Y2Ho2Tc. The functional is PBE.

Unit cell a=7.439 b=7.057 c=7.591 alpha=73.96 beta=58.39 gamma=58.19
Positions (direct):
Y: 0.170 0.000 0.103
Y: 0.830 0.000 0.897
Y: 0.650 0.000 0.589
Y: 0.350 0.000 0.411
Ho: 0.571 0.449 0.252
Ho: 0.979 0.449 0.748
Ho: 0.429 0.551 0.748
Ho: 0.021 0.551 0.252
Tc: 0.871 0.259 0.500
Tc: 0.129 0.741 0.500

## Properties
DOS(E_F) (states/eV per atom): 1.064
Formation energy (eV/atom): 0.002
Space group: No. 12
M_tot (μB per cell): 0.0
Calculated volume (Å³ per cell): 288
Total energy (eV per atom): -6.49

=====

[3]
This record from the Alexandria database describes a relaxed structure of Y3Ho2Tc2. The functional is PBE.

Unit cell a=3.803 b=6.451 c=8.480 alpha=104.88 beta=102.95 gamma=107.15
Positions (direct):
Y: 0.500 0.000 0.000
Y: 0.190 0.815 0.565
Y: 0.810 0.185 0.435
Ho: 0.657 0.494 0.820
Ho: 0.343 0.506 0.180
Tc: 0.033 0.852 0.213
Tc: 0.967 0.148 0.787

## Properties
DOS(E_F) (states/eV per atom): 0.724
Formation energy (eV/atom): -0.053
Space group: No. 12
M_tot (μB per cell): 0.0
Calculated volume (Å³ per cell): 182
Total energy (eV per atom): -7.09

=====

[4]
This record from the Alexandria database describes a relaxed structure of YHo2Tc9. The functional is PBE.

Unit cell a=5.351 b=5.351 c=9.245 alpha=73.18 beta=73.18 gamma=60.00
Positions (direct):
Y: 0.000 0.000 0.000
Ho: 0.856 0.856 0.431
Ho: 0.144 0.144 0.569
Tc: 0.662 0.662 0.014
Tc: 0.338 0.338 0.986
Tc: 0.500 0.500 0.500
Tc: 0.411 0.411 0.250
Tc: 0.927 0.411 0.250
Tc: 0.411 0.927 0.250
Tc: 0.589 0.589 0.750
Tc: 0.589 0.073 0.750
Tc: 0.073 0.589 0.750

## Properties
DOS(E_F) (states/eV per atom): 1.110
Formation energy (eV/atom): -0.063
Space group: No. 166
M_tot (μB per cell): 0.0
Calculated volume (Å³ per cell): 216
Total energy (eV per atom): -9.14

=====

[5]
This record from the Alexandria database describes a relaxed structure of Y2Ho3Tc2. The functional is PBE.

Unit cell a=4.015 b=6.119 c=8.448 alpha=102.61 beta=103.74 gamma=109.15
Positions (direct):
Y: 0.649 0.485 0.813
Y: 0.351 0.515 0.187
Ho: 0.500 0.000 0.000
Ho: 0.197 0.822 0.572
Ho: 0.803 0.178 0.428
Tc: 0.045 0.876 0.213
Tc: 0.955 0.124 0.787

## Properties
DOS(E_F) (states/eV per atom): 0.753
Formation energy (eV/atom): -0.070
Space group: No. 12
M_tot (μB per cell): 0.0
Calculated volume (Å³ per cell): 180
Total energy (eV per atom): -6.84

=====

[6]
This record from the Alexandria database describes a relaxed structure of Y2HoTc. The functional is PBE.

Unit cell a=6.280 b=7.419 c=9.205 alpha=90.00 beta=90.00 gamma=90.00
Positions (direct):
Y: 0.160 0.677 0.064
Y: 0.340 0.177 0.436
Y: 0.840 0.323 0.564
Y: 0.660 0.823 0.936
Y: 0.840 0.323 0.936
Y: 0.660 0.823 0.564
Y: 0.160 0.677 0.436
Y: 0.340 0.177 0.064
Ho: 0.631 0.544 0.250
Ho: 0.869 0.044 0.250
Ho: 0.369 0.456 0.750
Ho: 0.131 0.956 0.750
Tc: 0.035 0.385 0.250
Tc: 0.465 0.885 0.250
Tc: 0.965 0.615 0.750
Tc: 0.535 0.115 0.750

## Properties
DOS(E_F) (states/eV per atom): 0.870
Formation energy (eV/atom): -0.095
Space group: No. 62
M_tot (μB per cell): 0.0
Calculated volume (Å³ per cell): 429
Total energy (eV per atom): -7.06

=====

[7]
This record from the Alexandria database describes a relaxed structure of YHo3Tc8. The functional is PBE.

Unit cell a=5.425 b=5.425 c=9.363 alpha=72.63 beta=72.63 gamma=59.37
Positions (direct):
Y: 0.876 0.876 0.375
Ho: 0.374 0.374 0.875
Ho: 0.001 0.001 0.000
Ho: 0.499 0.499 0.500
Tc: 0.945 0.438 0.191
Tc: 0.430 0.938 0.684
Tc: 0.449 0.449 0.178
Tc: 0.926 0.926 0.697
Tc: 0.187 0.187 0.438
Tc: 0.688 0.688 0.937
Tc: 0.438 0.945 0.191
Tc: 0.938 0.430 0.684

## Properties
DOS(E_F) (states/eV per atom): 1.096
Formation energy (eV/atom): -0.159
Space group: No. 8
M_tot (μB per cell): 0.0
Calculated volume (Å³ per cell): 223
Total energy (eV per atom): -8.75

=====

[8]
This record from the Alexandria database describes a relaxed structure of YHoTc4. The functional is PBE.

Unit cell a=5.403 b=5.403 c=5.403 alpha=60.00 beta=60.00 gamma=60.00
Positions (direct):
Y: 0.250 0.250 0.250
Ho: 0.000 0.000 0.000
Tc: 0.625 0.625 0.125
Tc: 0.625 0.125 0.625
Tc: 0.625 0.625 0.625
Tc: 0.125 0.625 0.625

## Properties
DOS(E_F) (states/eV per atom): 1.452
Formation energy (eV/atom): -0.150
Space group: No. 216
M_tot (μB per cell): 0.0
Calculated volume (Å³ per cell): 112
Total energy (eV per atom): -8.90

=====

[9]
This record from the Alexandria database describes a relaxed structure of YHoZnTc. The functional is PBE.

Unit cell a=4.923 b=4.923 c=4.923 alpha=60.00 beta=60.00 gamma=60.00
Positions (direct):
Y: 0.750 0.750 0.750
Zn: 0.000 0.000 0.000
Ho: 0.250 0.250 0.250
Tc: 0.500 0.500 0.500

## Properties
DOS(E_F) (states/eV per atom): 0.681
Formation energy (eV/atom): -0.148
Space group: No. 216
M_tot (μB per cell): 0.0
Calculated volume (Å³ per cell): 84
Total energy (eV per atom): -5.82

=====

[10]
This record from the Alexandria database describes a relaxed structure of Ho2ZnTc. The functional is PBE.

Unit cell a=4.903 b=4.903 c=4.903 alpha=60.00 beta=60.00 gamma=60.00
Positions (direct):
Zn: 0.750 0.750 0.750
Ho: 0.000 0.000 0.000
Ho: 0.500 0.500 0.500
Tc: 0.250 0.250 0.250

## Properties
DOS(E_F) (states/eV per atom): 1.061
Formation energy (eV/atom): -0.167
Space group: No. 225
M_tot (μB per cell): 0.0
Calculated volume (Å³ per cell): 83
Total energy (eV per atom): -5.37

=====

[11]
This record from the Alexandria database describes a relaxed structure of Ho6Zn5Tc. The functional is PBE.

Unit cell a=4.978 b=7.103 c=7.851 alpha=90.00 beta=71.63 gamma=90.00
Positions (direct):
Zn: 0.667 0.500 0.667
Zn: 0.330 0.000 0.339
Zn: 0.000 0.500 0.000
Zn: 0.670 0.000 0.661
Zn: 0.333 0.500 0.333
Ho: 0.839 0.756 0.323
Ho: 0.839 0.244 0.323
Ho: 0.500 0.239 0.000
Ho: 0.500 0.761 0.000
Ho: 0.161 0.756 0.677
Ho: 0.161 0.244 0.677
Tc: 0.000 0.000 0.000

## Properties
DOS(E_F) (states/eV per atom): 0.701
Formation energy (eV/atom): -0.321
Space group: No. 10
M_tot (μB per cell): 0.0
Calculated volume (Å³ per cell): 263
Total energy (eV per atom): -4.00

=====

[12]
This record from the Alexandria database describes a relaxed structure of HoZnTc. The functional is PBE.

Unit cell a=5.233 b=5.428 c=5.428 alpha=59.33 beta=61.18 gamma=61.18
Positions (direct):
Ho: 0.882 0.368 0.368
Ho: 0.118 0.632 0.632
Zn: 0.500 0.500 0.000
Zn: 0.500 0.000 0.500
Tc: 0.000 0.000 0.000
Tc: 0.500 0.000 0.000

## Properties
DOS(E_F) (states/eV per atom): 0.650
Formation energy (eV/atom): -0.274
Space group: No. 74
M_tot (μB per cell): 0.0
Calculated volume (Å³ per cell): 110
Total energy (eV per atom): -5.68

=====

- The lowest calculated volume belongs to which entry?
  Ho2ZnTc

=====

- Number 10 is which compound?
  Ho2ZnTc